{
  "formula": "ZnCoF6",
  "functional": "PBE+U",
  "state": "relaxed",
  "cell": [[2.5017, 1.4443, 4.4047], [-2.5017, 1.4443, 4.4047], [0.0000, -2.8887, 4.4047]],
  "species": ["Zn", "Co", "F", "F", "F", "F", "F", "F"],
  "fractional_positions": [[0.0000, 0.0000, 0.0000], [0.5000, 0.5000, 0.5000], [0.1370, 0.7296, 0.3970], [0.2704, 0.6030, 0.8630], [0.3970, 0.1370, 0.7296], [0.6030, 0.8630, 0.2704], [0.7296, 0.3970, 0.1370], [0.8630, 0.2704, 0.6030]],
  "e_tot_ev_per_atom": -4.027,
  "magnetic_moment_mub_per_fu": 1.00,
  "density_g_cm3": 4.14
}